Entry 1:
# PBE LaZnMo2, relaxed
data_LaZnMo2
_chemical_formula_sum 'La3 Zn3 Mo6'
_cell_length_a 2.9098
_cell_length_b 2.9098
_cell_length_c 30.8283
_cell_angle_alpha 90.00
_cell_angle_beta 90.00
_cell_angle_gamma 120.00
_symmetry_space_group_name_H-M 'R -3 m'
_symmetry_Int_Tables_number 166
_symmetry_space_group_name_Hall '-R 3 2"'
loop_
_atom_site_label
_atom_site_type_symbol
_atom_site_fract_x
_atom_site_fract_y
_atom_site_fract_z
La1 La 0.0000 0.0000 0.0000
Zn1 Zn 0.0000 0.0000 0.5000
Mo1 Mo 0.0000 0.0000 0.2390
# M_tot = 0.00 μB/f.u.
# DOS at the Fermi energy = 21.39 states/eV per cell
# ΔH_f (0 K) = 2.90 eV/f.u.

Entry 2:
# PBE LaZnMo2, relaxed
data_LaZnMo2
_chemical_formula_sum 'La4 Zn4 Mo8'
_cell_length_a 7.895
_cell_length_b 7.895
_cell_length_c 5.331
_cell_angle_alpha 90.00
_cell_angle_beta 90.00
_cell_angle_gamma 90.00
_symmetry_space_group_name_H-M 'I -4 2 d'
_symmetry_Int_Tables_number 122
_symmetry_space_group_name_Hall 'I -4 2bw'
loop_
_atom_site_label
_atom_site_type_symbol
_atom_site_fract_x
_atom_site_fract_y
_atom_site_fract_z
La1 La 0.000 0.000 0.000
Zn1 Zn 0.000 0.000 0.500
Mo1 Mo 0.202 0.250 0.625
# M_tot = 0.00 μB/f.u.
# DOS at the Fermi energy = 6.10 states/eV per cell
# ΔH_f (0 K) = 3.37 eV/f.u.

Q: DOS at the Fermi energy of number 2 (LaZnMo2)?
A: 6.10 states/eV per cell

Q: What is the DOS at the Fermi energy in the second record?
A: 6.10 states/eV per cell

Please write out number 2 again, unchanged.
# PBE LaZnMo2, relaxed
data_LaZnMo2
_chemical_formula_sum 'La4 Zn4 Mo8'
_cell_length_a 7.895
_cell_length_b 7.895
_cell_length_c 5.331
_cell_angle_alpha 90.00
_cell_angle_beta 90.00
_cell_angle_gamma 90.00
_symmetry_space_group_name_H-M 'I -4 2 d'
_symmetry_Int_Tables_number 122
_symmetry_space_group_name_Hall 'I -4 2bw'
loop_
_atom_site_label
_atom_site_type_symbol
_atom_site_fract_x
_atom_site_fract_y
_atom_site_fract_z
La1 La 0.000 0.000 0.000
Zn1 Zn 0.000 0.000 0.500
Mo1 Mo 0.202 0.250 0.625
# M_tot = 0.00 μB/f.u.
# DOS at the Fermi energy = 6.10 states/eV per cell
# ΔH_f (0 K) = 3.37 eV/f.u.